(1)
HgBi8Rh2 PBE-GGA relaxed; DFT formation energy = -59 kJ/mol of formula units; N(E_F) = 0.516 states/eV/atom; crystal system = monoclinic; theoretical density = 11107 kg/m³
1.0
-5.5367 -0.7955 0.9773
2.5987 -6.1241 3.9106
0.8745 6.3501 4.2966
Bi Rh Hg
8 2 1
direct
0.0000 0.2459 0.7479
0.6251 0.0693 0.3487
0.6251 0.3487 0.0693
0.0000 0.7479 0.2459
0.3749 0.6451 0.9245
0.3749 0.9245 0.6451
0.7758 0.6214 0.6214
0.2243 0.3724 0.3724
0.5000 0.6792 0.3147
0.5000 0.3147 0.6792
0.9998 0.9968 0.9968

***

(2)
NdTl2GaS4 PBE-GGA relaxed; formation energy from raw total energies = -0.823 eV per atom; N(E_F) = 0.128 states/eV/atom; crystal system = monoclinic; theoretical density = 6192 kg/m³
1.0
8.2974 -0.0272 -0.2199
-0.0331 8.2974 -0.2199
-4.2362 -4.2391 6.0760
S Nd Tl Ga
8 2 4 2
direct
0.7591 0.7435 0.9497
0.7967 0.2438 0.0204
0.2409 0.2565 0.0503
0.2435 0.2591 0.4497
0.7565 0.7409 0.5503
0.2562 0.7033 0.4796
0.7438 0.2967 0.5204
0.2034 0.7562 0.9796
0.0000 0.5000 0.5000
0.0000 0.5000 0.0000
0.0000 0.0000 0.5000
0.5000 0.0000 0.5000
0.5000 0.0000 0.0000
0.5000 0.5000 0.0000
0.5000 0.5000 0.5000
0.0000 0.0000 0.0000